Here is an optimized crystal structure of RbZnHg2Ir from Alexandria. Energies are from PBEsol.

abc: 5.215 5.215 5.891
angles: 90.00 90.00 90.00
Atoms (fractional coordinates):
Rb: 0.000 0.000 0.000
Zn: 0.500 0.500 0.000
Hg: 0.000 0.500 0.500
Hg: 0.500 0.000 0.500
Ir: 0.000 0.000 0.500

Calculated values
Space-group type ... P4/mmm
Energy relative to the elements ... 0.584 eV per atom
Size of the total moment ... 0.007 μB per formula unit

---

Here is an optimized crystal structure of AgAs2 from Alexandria. Energies are from PBEsol.

abc: 4.840 4.840 2.727
angles: 90.00 90.00 120.00
Atoms (fractional coordinates):
Ag: 0.000 0.000 0.000
As: 0.333 0.667 0.500
As: 0.667 0.333 0.500

Calculated values
Space-group type ... P6/mmm
Energy relative to the elements ... 0.264 eV per atom
Size of the total moment ... 0.000 μB per formula unit

---

Here is an optimized crystal structure of BeCr3Ga from Alexandria. Energies are from PBEsol.

abc: 4.564 4.564 4.564
angles: 90.00 90.00 90.00
Atoms (fractional coordinates):
Be: 0.000 0.000 0.000
Cr: 0.000 0.500 0.500
Cr: 0.500 0.000 0.500
Cr: 0.500 0.500 0.000
Ga: 0.500 0.500 0.500

Calculated values
Space-group type ... Pm-3m
Energy relative to the elements ... 1.678 eV per atom
Size of the total moment ... 10.606 μB per formula unit

---

Here is an optimized crystal structure of InAgP2 from Alexandria. Energies are from PBEsol.

abc: 5.635 5.635 5.635
angles: 146.87 131.42 60.07
Atoms (fractional coordinates):
In: 0.000 0.000 0.000
Ag: 0.711 0.211 0.500
P: 0.260 0.760 0.500
P: 0.426 0.426 0.000

Calculated values
Space-group type ... Imm2
Energy relative to the elements ... 0.219 eV per atom
Size of the total moment ... 0.000 μB per formula unit

---

Taking the records one at a time from the top gives uncorrected energy values of -2.13; -4.24; -5.93; -4.25 eV/atom.